Here is a geometry-optimized Be2CdRh structure from Alexandria via LeMat-Bulk. Energies are from PBE.

Cell lengths 3.9552, 3.9552, 8.3499 Å; angles 76.30, 76.30, 90.00 degrees
Closest atoms and distances in Å follow each position.
Element x y z (fractional)
Cd 0.7500 0.2500 0.5000  4 Be 2.73, 4 Rh 2.80
Cd 0.0000 0.0000 0.0000  4 Be 2.73, 4 Rh 2.80
Be 0.2842 0.6250 0.2500  2 Be 2.10, 2 Rh 2.23
Be 0.4658 0.1250 0.2500  2 Be 2.10, 2 Rh 2.23
Be 0.3750 0.5342 0.7500  2 Be 2.10, 2 Rh 2.23
Be 0.8750 0.7158 0.7500  2 Be 2.10, 2 Rh 2.23
Rh 0.2500 0.7500 0.5000  4 Be 2.23
Rh 0.5000 0.5000 0.0000  4 Be 2.23

## Properties
- Energy of formation from the pure elements: 0.23 eV per atom
- Total magnetization: 0.00 Bohr magnetons per cell